Record 1
Entry from Alexandria via LeMat-Bulk: LiAcNdSc after structural relaxation (GGA-PBE).

Output
Calculated volume in Å³/atom: 31.255
Energy of formation in eV per atom: 0.140

Unit cell a=7.937 b=7.937 c=7.937 alpha=90.00 beta=90.00 gamma=90.00
Positions (direct):
Li1 0.000 0.000 0.000
Li2 0.000 0.500 0.500
Li3 0.500 0.000 0.500
Li4 0.500 0.500 0.000
Ac1 0.250 0.250 0.750
Ac2 0.250 0.750 0.250
Ac3 0.750 0.250 0.250
Ac4 0.750 0.750 0.750
Nd1 0.250 0.250 0.250
Nd2 0.250 0.750 0.750
Nd3 0.750 0.250 0.750
Nd4 0.750 0.750 0.250
Sc1 0.000 0.000 0.500
Sc2 0.000 0.500 0.000
Sc3 0.500 0.000 0.000
Sc4 0.500 0.500 0.500

***

Record 2
Entry from Alexandria via LeMat-Bulk: Hg4Te after structural relaxation (GGA-PBE).

Output
Calculated volume in Å³/atom: 46.602
Energy above the most stable polymorph in this dataset in kJ/mol of atoms: 6.11
Formation energy without anion corrections in eV per atom: 0.178

Unit cell a=6.154 b=6.154 c=6.154 alpha=90.00 beta=90.00 gamma=90.00
Positions (direct):
Hg1 0.000 0.000 0.000
Hg2 0.000 0.500 0.500
Hg3 0.500 0.000 0.500
Hg4 0.500 0.500 0.000
Te1 0.500 0.500 0.500

***

Record 3
Entry from Alexandria via LeMat-Bulk: ZnMo after structural relaxation (GGA-PBE).

Output
Calculated volume in Å³/atom: 14.978
Energy above the most stable polymorph in this dataset in kJ/mol of atoms: 6.91
Energy of formation in eV per atom: 0.133

Unit cell a=2.654 b=2.654 c=4.252 alpha=90.00 beta=90.00 gamma=90.00
Positions (direct):
Zn1 0.000 0.000 0.000
Mo1 0.500 0.500 0.500

***

Record 4
Entry from Alexandria via LeMat-Bulk: Nd3Er12Mg after structural relaxation (GGA-PBE).

Output
Calculated volume in Å³/atom: 31.005
Energy of formation in eV per atom: 0.026

Unit cell a=4.987 b=4.987 c=19.950 alpha=90.00 beta=90.00 gamma=90.00
Positions (direct):
Nd1 0.000 0.000 0.000
Nd2 0.000 0.000 0.252
Nd3 0.000 0.000 0.748
Er1 0.000 0.500 0.127
Er2 0.000 0.500 0.379
Er3 0.000 0.500 0.621
Er4 0.000 0.500 0.873
Er5 0.500 0.000 0.127
Er6 0.500 0.000 0.379
Er7 0.500 0.000 0.621
Er8 0.500 0.000 0.873
Er9 0.500 0.500 0.000
Er10 0.500 0.500 0.256
Er11 0.500 0.500 0.500
Er12 0.500 0.500 0.744
Mg1 0.000 0.000 0.500

***

Record 5
Entry from Alexandria via LeMat-Bulk: ZnRh2Br after structural relaxation (GGA-PBE).

Output
Calculated volume in Å³/atom: 17.410
Energy above the most stable polymorph in this dataset in kJ/mol of atoms: 25.84
Formation energy without anion corrections in eV per atom: 0.377

Unit cell a=4.081 b=4.081 c=16.729 alpha=90.00 beta=90.00 gamma=90.00
Positions (direct):
Zn1 0.000 0.000 0.000
Zn2 0.000 0.500 0.250
Zn3 0.500 0.000 0.750
Zn4 0.500 0.500 0.500
Rh1 0.237 0.250 0.625
Rh2 0.250 0.737 0.875
Rh3 0.250 0.763 0.375
Rh4 0.263 0.250 0.125
Rh5 0.737 0.750 0.125
Rh6 0.750 0.237 0.375
Rh7 0.750 0.263 0.875
Rh8 0.763 0.750 0.625
Br1 0.000 0.000 0.500
Br2 0.000 0.500 0.750
Br3 0.500 0.000 0.250
Br4 0.500 0.500 0.000

***

Record 6
Entry from Alexandria via LeMat-Bulk: Na2BSe2 after structural relaxation (GGA-PBE).

Output
Calculated volume in Å³/atom: 25.536
Energy above the most stable polymorph in this dataset in kJ/mol of atoms: 0.00
Formation energy without anion corrections in eV per atom: -0.289

Unit cell a=5.944 b=5.944 c=7.227 alpha=90.00 beta=90.00 gamma=90.00
Positions (direct):
Na1 0.000 0.500 0.250
Na2 0.000 0.500 0.750
Na3 0.500 0.000 0.250
Na4 0.500 0.000 0.750
B1 0.000 0.000 0.000
B2 0.500 0.500 0.500
Se1 0.000 0.000 0.260
Se2 0.000 0.000 0.740
Se3 0.500 0.500 0.240
Se4 0.500 0.500 0.760

***

Record 7
Entry from Alexandria via LeMat-Bulk: LaMnSi2Ru after structural relaxation (GGA-PBE).

Output
Calculated volume in Å³/atom: 17.647
Formation energy without anion corrections in eV per atom: -0.718

Unit cell a=4.104 b=4.104 c=10.477 alpha=90.00 beta=90.00 gamma=90.00
Positions (direct):
La1 0.000 0.000 0.000
La2 0.500 0.500 0.500
Mn1 0.000 0.500 0.750
Mn2 0.500 0.000 0.250
Si1 0.000 0.000 0.373
Si2 0.000 0.000 0.627
Si3 0.500 0.500 0.127
Si4 0.500 0.500 0.873
Ru1 0.000 0.500 0.250
Ru2 0.500 0.000 0.750

***

Record 8
Entry from Alexandria via LeMat-Bulk: Zr5NbPd4 after structural relaxation (GGA-PBE).

Output
Calculated volume in Å³/atom: 19.200
Energy of formation in eV per atom: -0.473

Unit cell a=3.387 b=3.387 c=16.741 alpha=90.00 beta=90.00 gamma=90.00
Positions (direct):
Zr1 0.000 0.000 0.000
Zr2 0.000 0.000 0.196
Zr3 0.000 0.000 0.398
Zr4 0.000 0.000 0.602
Zr5 0.000 0.000 0.804
Nb1 0.500 0.500 0.500
Pd1 0.500 0.500 0.103
Pd2 0.500 0.500 0.295
Pd3 0.500 0.500 0.705
Pd4 0.500 0.500 0.897

***

Record 9
Entry from Alexandria via LeMat-Bulk: GaSbIrI2 after structural relaxation (GGA-PBE).

Output
Calculated volume in Å³/atom: 33.011
Energy above the most stable polymorph in this dataset in kJ/mol of atoms: 0.00
Formation energy without anion corrections in eV per atom: 0.292

Unit cell a=5.782 b=5.782 c=4.938 alpha=90.00 beta=90.00 gamma=90.00
Positions (direct):
Ga1 0.000 0.000 0.000
Sb1 0.500 0.500 0.000
Ir1 0.500 0.500 0.500
I1 0.000 0.500 0.500
I2 0.500 0.000 0.500

***

Record 10
Entry from Alexandria via LeMat-Bulk: Ho2NiIr3 after structural relaxation (GGA-PBE).

Output
Calculated volume in Å³/atom: 17.383
Energy of formation in eV per atom: -0.713

Unit cell a=5.368 b=5.368 c=8.359 alpha=90.00 beta=90.00 gamma=120.00
Positions (direct):
Ho1 0.333 0.667 0.065
Ho2 0.333 0.667 0.435
Ho3 0.667 0.333 0.565
Ho4 0.667 0.333 0.935
Ni1 0.000 0.000 0.000
Ni2 0.000 0.000 0.500
Ir1 0.168 0.336 0.750
Ir2 0.168 0.832 0.750
Ir3 0.336 0.168 0.250
Ir4 0.664 0.832 0.750
Ir5 0.832 0.168 0.250
Ir6 0.832 0.664 0.250

***

Record 11
Entry from Alexandria via LeMat-Bulk: Li2CrN2 after structural relaxation (GGA-PBE).

Output
Calculated volume in Å³/atom: 8.515
Formation energy without anion corrections in eV per atom: -0.470

Unit cell a=3.029 b=3.029 c=5.356 alpha=90.00 beta=90.00 gamma=120.00
Positions (direct):
Li1 0.333 0.667 0.140
Li2 0.667 0.333 0.860
Cr1 0.000 0.000 0.500
N1 0.333 0.667 0.704
N2 0.667 0.333 0.296